K2SiP, relaxed, DFT GGA-PBE; magnetic moment = 0.00 Bohr magnetons per cell; SG = Cm; calculated volume = 31.812 Å³/atom; total energy = -13.4 eV per cell; E_form (uncorrected) = -0.35 eV per formula unit
1.0
3.2511 -1.9094 0.0000
3.2511 1.9094 0.0000
-2.1491 0.0000 10.2490
K Si P
2 1 1
Cartesian
0.0000 0.0000 0.0000
-0.0655 0.0000 6.0390
2.1345 0.0000 3.4303
4.3156 0.0000 2.4006

=====

KSi4P, relaxed, DFT GGA-PBE; magnetic moment = 0.00 Bohr magnetons per cell; SG = F-43m; calculated volume = 17.968 Å³/atom; total energy = -24.6 eV per cell; E_form (uncorrected) = 3.61 eV per formula unit
1.0
0.0000 3.7775 3.7775
3.7775 0.0000 3.7775
3.7775 3.7775 0.0000
K Si P
1 4 1
Cartesian
0.0000 0.0000 0.0000
2.8438 2.8438 2.8438
4.7112 4.7112 2.8438
4.7112 2.8438 4.7112
2.8438 4.7112 4.7112
5.6663 5.6663 5.6663

=====

KSiP3, relaxed, DFT GGA-PBE; magnetic moment = 0.00 Bohr magnetons per cell; SG = Pm-3m; calculated volume = 27.330 Å³/atom; total energy = -11.7 eV per cell; E_form (uncorrected) = 11.04 eV per formula unit
1.0
5.1507 0.0000 0.0000
0.0000 5.1507 0.0000
0.0000 0.0000 5.1507
K Si P
1 1 3
Cartesian
0.0000 0.0000 0.0000
2.5754 2.5754 2.5754
0.0000 0.0000 2.5754
0.0000 2.5754 0.0000
2.5754 0.0000 0.0000

=====

K2SiP, relaxed, DFT GGA-PBE; magnetic moment = 0.00 Bohr magnetons per cell; SG = I-4m2; calculated volume = 26.607 Å³/atom; total energy = -11.4 eV per cell; E_form (uncorrected) = 1.62 eV per formula unit
1.0
-2.5182 2.5182 4.1958
2.5182 -2.5182 4.1958
2.5182 2.5182 -4.1958
K Si P
2 1 1
Cartesian
0.0000 0.0000 0.0000
0.0000 2.5182 2.0979
0.0000 0.0000 4.1958
2.5182 0.0000 2.0979

=====

K2SiP, relaxed, DFT GGA-PBE; magnetic moment = 0.00 Bohr magnetons per cell; SG = F-43m; calculated volume = 26.662 Å³/atom; total energy = -11.4 eV per cell; E_form (uncorrected) = 1.62 eV per formula unit
1.0
0.0000 3.7639 3.7639
3.7639 0.0000 3.7639
3.7639 3.7639 0.0000
K Si P
2 1 1
Cartesian
0.0000 0.0000 0.0000
1.8820 1.8820 1.8820
5.6459 5.6459 5.6459
3.7639 3.7639 3.7639

=====

KSiP2, relaxed, DFT GGA-PBE; magnetic moment = 0.00 Bohr magnetons per cell; SG = P4/mmm; calculated volume = 21.710 Å³/atom; total energy = -16.9 eV per cell; E_form (uncorrected) = 0.42 eV per formula unit
1.0
3.6448 0.0000 0.0000
0.0000 3.6448 0.0000
0.0000 0.0000 6.5369
K Si P
1 1 2
Cartesian
0.0000 0.0000 0.0000
0.0000 0.0000 3.2685
1.8224 1.8224 2.2204
1.8224 1.8224 4.3166

=====

K2SiP, relaxed, DFT GGA-PBE; magnetic moment = 0.00 Bohr magnetons per cell; SG = C2/m; calculated volume = 28.587 Å³/atom; total energy = -11.3 eV per cell; E_form (uncorrected) = 1.75 eV per formula unit
1.0
4.5657 -1.3490 0.0000
4.5657 1.3490 0.0000
-0.4859 0.0000 9.2826
K Si P
2 1 1
Cartesian
2.1279 0.0000 2.1251
6.5176 0.0000 7.1575
-0.2430 0.0000 4.6413
4.5657 0.0000 0.0000

=====

K3Si2P4, relaxed, DFT GGA-PBE; magnetic moment = 1.29 Bohr magnetons per cell; SG = C2/c; calculated volume = 26.892 Å³/atom; total energy = -77.5 eV per cell; E_form (uncorrected) = -2.97 eV per formula unit
1.0
7.2523 -5.1361 0.0000
7.2523 5.1361 0.0000
-0.2317 0.0000 6.4976
K Si P
6 4 8
Cartesian
7.0786 4.0978 4.8732
5.4129 1.3625 3.0850
8.9759 1.3625 0.1638
5.2971 -1.3625 6.3338
8.8601 -1.3625 3.4126
7.1944 -4.0978 1.6244
2.8885 1.1996 6.1680
3.0043 -1.1996 2.9192
11.2686 1.1996 3.5784
11.3845 -1.1996 0.3296
2.3661 0.7073 3.9720
5.0116 1.9957 6.3892
2.4819 -0.7073 0.7232
9.1456 1.9957 3.3572
5.1274 -1.9957 3.1404
11.7910 0.7073 5.7744
9.2614 -1.9957 0.1084
11.9069 -0.7073 2.5256